(1)
{"formula": "Si2AsI8", "functional": "PBE", "state": "relaxed", "cell": [[6.481, -4.725, 0.000], [6.481, 4.725, 0.000], [-2.016, 0.000, 10.285]], "species": ["Si", "Si", "As", "I", "I", "I", "I", "I", "I", "I", "I"], "fractional_positions": [[0.127, 0.127, 0.213], [0.873, 0.873, 0.787], [0.000, 0.000, 0.000], [0.112, 0.677, 0.666], [0.146, 0.146, 0.844], [0.310, 0.310, 0.182], [0.323, 0.888, 0.334], [0.677, 0.112, 0.666], [0.690, 0.690, 0.818], [0.854, 0.854, 0.156], [0.888, 0.323, 0.334]], "magmom_total_mub_per_atom": 0.091, "raw_formation_energy_ev_per_atom": -0.1011}

(2)
{"formula": "NdThInHg", "functional": "PBE", "state": "relaxed", "cell": [[3.554, 0.000, 0.000], [0.000, 3.554, 0.000], [0.000, 0.000, 8.909]], "species": ["Nd", "Th", "In", "Hg"], "fractional_positions": [[0.000, 0.000, 0.000], [0.000, 0.000, 0.507], [0.500, 0.500, 0.251], [0.500, 0.500, 0.757]], "magmom_total_mub_per_atom": 0.000, "de_polymorph_mev_per_atom": 0, "e_form_ev_per_atom": -0.367}

(3)
{"formula": "LaErBr6", "functional": "PBE", "state": "relaxed", "cell": [[7.143, 0.000, 0.000], [0.000, 13.172, 0.000], [-2.016, 0.000, 6.839]], "species": ["La", "La", "Er", "Er", "Br", "Br", "Br", "Br", "Br", "Br", "Br", "Br", "Br", "Br", "Br", "Br"], "fractional_positions": [[0.000, 0.000, 0.000], [0.500, 0.500, 0.000], [0.000, 0.500, 0.500], [0.500, 0.000, 0.500], [0.235, 0.354, 0.738], [0.235, 0.646, 0.738], [0.245, 0.500, 0.258], [0.255, 0.000, 0.742], [0.265, 0.146, 0.262], [0.265, 0.854, 0.262], [0.735, 0.146, 0.738], [0.735, 0.854, 0.738], [0.745, 0.000, 0.258], [0.755, 0.500, 0.742], [0.765, 0.354, 0.262], [0.765, 0.646, 0.262]], "magmom_total_mub_per_atom": 0.000, "de_polymorph_mev_per_atom": 0, "raw_formation_energy_ev_per_atom": -1.8924}

(4)
{"formula": "MgFe2As", "functional": "PBE", "state": "relaxed", "cell": [[2.956, 0.000, 0.000], [0.000, 4.007, 0.000], [-1.300, 0.000, 4.982]], "species": ["Mg", "Fe", "Fe", "As"], "fractional_positions": [[0.000, 0.000, 0.000], [0.324, 0.500, 0.687], [0.617, 0.000, 0.508], [0.613, 0.500, 0.255]], "magmom_total_mub_per_atom": 1.162, "e_form_ev_per_atom": 0.072}

(5)
{"formula": "Na5BiAu", "functional": "PBE", "state": "relaxed", "cell": [[4.392, -4.207, 0.000], [4.392, 4.207, 0.000], [-1.856, 0.000, 11.149]], "species": ["Na", "Na", "Na", "Na", "Na", "Na", "Na", "Na", "Na", "Na", "Bi", "Bi", "Au", "Au"], "fractional_positions": [[0.029, 0.576, 0.161], [0.133, 0.867, 0.750], [0.247, 0.488, 0.484], [0.424, 0.971, 0.339], [0.488, 0.247, 0.984], [0.512, 0.753, 0.016], [0.576, 0.029, 0.661], [0.753, 0.512, 0.516], [0.867, 0.133, 0.250], [0.971, 0.424, 0.839], [0.000, 0.000, 0.000], [0.000, 0.000, 0.500], [0.486, 0.514, 0.750], [0.514, 0.486, 0.250]], "magmom_total_mub_per_atom": 0.000, "e_form_ev_per_atom": -0.236}

(6)
{"formula": "TlAg4Mo", "functional": "PBE", "state": "relaxed", "cell": [[0.000, 3.918, 3.918], [3.918, 0.000, 3.918], [3.918, 3.918, 0.000]], "species": ["Tl", "Ag", "Ag", "Ag", "Ag", "Mo"], "fractional_positions": [[0.000, 0.000, 0.000], [0.126, 0.625, 0.625], [0.625, 0.126, 0.625], [0.625, 0.625, 0.126], [0.625, 0.625, 0.625], [0.250, 0.250, 0.250]], "magmom_total_mub_per_atom": 0.594, "e_form_ev_per_atom": 0.581}

(7)
{"formula": "CsTePb3", "functional": "PBE", "state": "relaxed", "cell": [[6.176, 0.000, 0.000], [0.000, 6.176, 0.000], [0.000, 0.000, 6.176]], "species": ["Cs", "Te", "Pb", "Pb", "Pb"], "fractional_positions": [[0.000, 0.000, 0.000], [0.500, 0.500, 0.500], [0.000, 0.500, 0.500], [0.500, 0.000, 0.500], [0.500, 0.500, 0.000]], "magmom_total_mub_per_atom": 0.000, "de_polymorph_mev_per_atom": 0, "raw_formation_energy_ev_per_atom": 0.1533}

(8)
{"formula": "ReSnC3", "functional": "PBE", "state": "relaxed", "cell": [[4.097, 0.000, 0.000], [0.000, 4.097, 0.000], [0.000, 0.000, 4.097]], "species": ["Re", "Sn", "C", "C", "C"], "fractional_positions": [[0.000, 0.000, 0.000], [0.500, 0.500, 0.500], [0.000, 0.000, 0.500], [0.000, 0.500, 0.000], [0.500, 0.000, 0.000]], "magmom_total_mub_per_atom": 0.000, "de_polymorph_mev_per_atom": 0, "e_form_ev_per_atom": 1.641}

Copy entry 7 word for word.
{"formula": "CsTePb3", "functional": "PBE", "state": "relaxed", "cell": [[6.176, 0.000, 0.000], [0.000, 6.176, 0.000], [0.000, 0.000, 6.176]], "species": ["Cs", "Te", "Pb", "Pb", "Pb"], "fractional_positions": [[0.000, 0.000, 0.000], [0.500, 0.500, 0.500], [0.000, 0.500, 0.500], [0.500, 0.000, 0.500], [0.500, 0.500, 0.000]], "magmom_total_mub_per_atom": 0.000, "de_polymorph_mev_per_atom": 0, "raw_formation_energy_ev_per_atom": 0.1533}